Version a
! BaNiP2Rh PBE relaxed; values from VASP
&SYSTEM
  ibrav = 0, nat = 10, ntyp = 4
/
ATOMIC_SPECIES
Ba 137.33 Ba.upf
Ni 58.69 Ni.upf
P 30.97 P.upf
Rh 102.91 Rh.upf
CELL_PARAMETERS angstrom
5.984 -1.995 0.000
5.984 1.995 0.000
-1.432 0.000 8.818
ATOMIC_POSITIONS angstrom
Ba 1.602 0.000 1.459
Ba 8.935 0.000 7.359
Ni 1.397 0.000 4.985
Ni 9.140 0.000 3.834
P 0.339 0.000 6.979
P 3.613 0.000 4.864
P 6.924 0.000 3.955
P 10.198 0.000 1.840
Rh 4.829 0.000 2.901
Rh 5.708 0.000 5.917
! - Volume: 210.5 Å³ per cell
! - Space group: C2/m (12)
! - Density of states at the Fermi level: 0.6972 states/eV/atom


Version b
! BaNiP2Rh PBE relaxed; values from VASP
&SYSTEM
  ibrav = 0, nat = 5, ntyp = 4
/
ATOMIC_SPECIES
Ba 137.33 Ba.upf
Ni 58.69 Ni.upf
P 30.97 P.upf
Rh 102.91 Rh.upf
CELL_PARAMETERS angstrom
5.438 0.000 0.000
0.000 5.438 0.000
0.000 0.000 4.842
ATOMIC_POSITIONS angstrom
Ba 0.000 0.000 0.000
Ni 0.000 0.000 2.421
P 0.000 2.719 0.000
P 2.719 0.000 0.000
Rh 2.719 2.719 2.421
! - Volume: 143.2 Å³ per cell
! - Space group: P4/mmm (123)
! - Density of states at the Fermi level: 2.1036 states/eV/atom


Stability verdict: version a, ahead by 278.8 kJ/mol of atoms


Version a
! BaNiP2S PBE relaxed; values from VASP
&SYSTEM
  ibrav = 0, nat = 5, ntyp = 4
/
ATOMIC_SPECIES
Ba 137.33 Ba.upf
Ni 58.69 Ni.upf
P 30.97 P.upf
S 32.06 S.upf
CELL_PARAMETERS angstrom
6.003 0.000 0.000
0.000 6.003 0.000
0.000 0.000 5.730
ATOMIC_POSITIONS angstrom
Ba 0.000 0.000 0.000
Ni 3.001 3.001 2.865
P 0.000 3.001 0.000
P 3.001 0.000 0.000
S 0.000 0.000 2.865
! - Volume: 206.5 Å³ per cell
! - Space group: P4/mmm (123)
! - Density of states at the Fermi level: 1.8057 states/eV/atom


Version b
! BaNiP2S PBE relaxed; values from VASP
&SYSTEM
  ibrav = 0, nat = 5, ntyp = 4
/
ATOMIC_SPECIES
Ba 137.33 Ba.upf
Ni 58.69 Ni.upf
P 30.97 P.upf
S 32.06 S.upf
CELL_PARAMETERS angstrom
4.478 0.000 0.000
0.000 4.478 0.000
0.000 0.000 5.213
ATOMIC_POSITIONS angstrom
Ba 0.000 0.000 0.000
Ni 2.239 2.239 2.607
P 0.000 2.239 2.607
P 2.239 0.000 2.607
S 2.239 2.239 0.000
! - Volume: 104.5 Å³ per cell
! - Space group: P4/mmm (123)
! - Density of states at the Fermi level: 1.0081 states/eV/atom


Stability verdict: version b, ahead by 194.8 kJ/mol of atoms


Version a
! Ba2TlNiPb PBE relaxed; values from VASP
&SYSTEM
  ibrav = 0, nat = 5, ntyp = 4
/
ATOMIC_SPECIES
Ba 137.33 Ba.upf
Tl 204.38 Tl.upf
Ni 58.69 Ni.upf
Pb 207.20 Pb.upf
CELL_PARAMETERS angstrom
6.084 0.000 0.000
0.000 6.084 0.000
0.000 0.000 4.968
ATOMIC_POSITIONS angstrom
Ba 0.000 3.042 0.000
Ba 3.042 0.000 0.000
Tl 0.000 0.000 2.484
Ni 3.042 3.042 0.000
Pb 3.042 3.042 2.484
! - Volume: 183.9 Å³ per cell
! - Space group: P4/mmm (123)
! - Density of states at the Fermi level: 0.5739 states/eV/atom


Version b
! Ba2TlNiPb PBE relaxed; values from VASP
&SYSTEM
  ibrav = 0, nat = 5, ntyp = 4
/
ATOMIC_SPECIES
Ba 137.33 Ba.upf
Tl 204.38 Tl.upf
Ni 58.69 Ni.upf
Pb 207.20 Pb.upf
CELL_PARAMETERS angstrom
5.922 0.000 0.000
0.000 5.922 0.000
0.000 0.000 5.066
ATOMIC_POSITIONS angstrom
Ba 0.000 2.961 0.000
Ba 2.961 0.000 0.000
Tl 0.000 0.000 2.533
Ni 0.000 0.000 0.000
Pb 2.961 2.961 2.533
! - Volume: 177.7 Å³ per cell
! - Space group: P4/mmm (123)
! - Density of states at the Fermi level: 0.8508 states/eV/atom


Stability verdict: version a, ahead by 1.6 kJ/mol of atoms


Version a
! BaZnNiPb PBE relaxed; values from VASP
&SYSTEM
  ibrav = 0, nat = 8, ntyp = 4
/
ATOMIC_SPECIES
Ba 137.33 Ba.upf
Zn 65.41 Zn.upf
Ni 58.69 Ni.upf
Pb 207.20 Pb.upf
CELL_PARAMETERS angstrom
3.971 0.000 0.000
0.000 4.995 0.000
0.000 0.000 11.394
ATOMIC_POSITIONS angstrom
Ba 0.000 0.000 0.000
Ba 1.985 2.498 5.697
Zn 0.000 0.000 7.280
Zn 1.985 2.498 1.583
Ni 0.000 0.000 4.852
Ni 1.985 2.498 10.549
Pb 0.000 2.498 8.799
Pb 1.985 0.000 3.102
! - Volume: 226.0 Å³ per cell
! - Space group: Imm2 (44)
! - Density of states at the Fermi level: 0.6443 states/eV/atom


Version b
! BaZnNiPb PBE relaxed; values from VASP
&SYSTEM
  ibrav = 0, nat = 8, ntyp = 4
/
ATOMIC_SPECIES
Ba 137.33 Ba.upf
Zn 65.41 Zn.upf
Ni 58.69 Ni.upf
Pb 207.20 Pb.upf
CELL_PARAMETERS angstrom
4.393 0.000 0.000
0.000 5.732 0.000
0.000 0.000 8.503
ATOMIC_POSITIONS angstrom
Ba 0.000 0.000 0.000
Ba 0.000 2.866 4.252
Zn 2.197 0.000 2.755
Zn 2.197 2.866 7.007
Ni 0.000 0.000 3.966
Ni 0.000 2.866 8.218
Pb 2.197 0.000 5.585
Pb 2.197 2.866 1.333
! - Volume: 214.1 Å³ per cell
! - Space group: Amm2 (38)
! - Density of states at the Fermi level: 0.6308 states/eV/atom


Version c
! BaZnNiPb PBE relaxed; values from VASP
&SYSTEM
  ibrav = 0, nat = 8, ntyp = 4
/
ATOMIC_SPECIES
Ba 137.33 Ba.upf
Zn 65.41 Zn.upf
Ni 58.69 Ni.upf
Pb 207.20 Pb.upf
CELL_PARAMETERS angstrom
10.821 0.000 0.000
0.000 4.403 0.000
-1.662 0.000 4.648
ATOMIC_POSITIONS angstrom
Ba 0.000 0.000 0.000
Ba 5.411 2.202 0.000
Zn 3.014 0.000 1.669
Zn 8.425 2.202 1.669
Ni 2.299 2.202 0.883
Ni 7.710 0.000 0.883
Pb 0.692 2.202 2.908
Pb 6.103 0.000 2.908
! - Volume: 221.5 Å³ per cell
! - Space group: Cm (8)
! - Density of states at the Fermi level: 0.6426 states/eV/atom


Stability verdict: version c, ahead by 2.9 kJ/mol of atoms


Version a
! BaZnNiPb PBE relaxed; values from VASP
&SYSTEM
  ibrav = 0, nat = 12, ntyp = 4
/
ATOMIC_SPECIES
Ba 137.33 Ba.upf
Zn 65.41 Zn.upf
Ni 58.69 Ni.upf
Pb 207.20 Pb.upf
CELL_PARAMETERS angstrom
4.427 0.000 0.000
-2.213 3.834 0.000
0.000 0.000 18.743
ATOMIC_POSITIONS angstrom
Ba 0.000 0.000 0.000
Ba 0.000 2.556 12.495
Ba 2.213 1.278 6.248
Zn 0.000 0.000 3.912
Zn 0.000 2.556 16.407
Zn 2.213 1.278 10.160
Ni 0.000 0.000 9.908
Ni 0.000 2.556 3.661
Ni 2.213 1.278 16.156
Pb 0.000 0.000 15.061
Pb 0.000 2.556 8.814
Pb 2.213 1.278 2.566
! - Volume: 318.1 Å³ per cell
! - Space group: R3m (160)
! - Density of states at the Fermi level: 0.9382 states/eV/atom


Version b
! BaZnNiPb PBE relaxed; values from VASP
&SYSTEM
  ibrav = 0, nat = 8, ntyp = 4
/
ATOMIC_SPECIES
Ba 137.33 Ba.upf
Zn 65.41 Zn.upf
Ni 58.69 Ni.upf
Pb 207.20 Pb.upf
CELL_PARAMETERS angstrom
7.827 0.000 0.000
0.000 4.571 0.000
-2.615 0.000 6.058
ATOMIC_POSITIONS angstrom
Ba 0.000 0.000 0.000
Ba 3.914 2.286 0.000
Zn 1.292 2.286 2.384
Zn 5.206 0.000 2.384
Ni -0.023 0.000 2.995
Ni 3.891 2.286 2.995
Pb -1.320 2.286 3.597
Pb 2.594 0.000 3.597
! - Volume: 216.7 Å³ per cell
! - Space group: Cm (8)
! - Density of states at the Fermi level: 0.5224 states/eV/atom


Stability verdict: version a, ahead by 1.7 kJ/mol of atoms


Version a
! BaZnNiPb PBE relaxed; values from VASP
&SYSTEM
  ibrav = 0, nat = 12, ntyp = 4
/
ATOMIC_SPECIES
Ba 137.33 Ba.upf
Zn 65.41 Zn.upf
Ni 58.69 Ni.upf
Pb 207.20 Pb.upf
CELL_PARAMETERS angstrom
4.465 0.000 0.000
-2.233 3.867 0.000
0.000 0.000 18.502
ATOMIC_POSITIONS angstrom
Ba 0.000 0.000 0.000
Ba 0.000 2.578 12.335
Ba 2.233 1.289 6.167
Zn 0.000 0.000 8.487
Zn 0.000 2.578 2.319
Zn 2.233 1.289 14.654
Ni 0.000 0.000 14.870
Ni 0.000 2.578 8.703
Ni 2.233 1.289 2.536
Pb 0.000 0.000 3.610
Pb 0.000 2.578 15.945
Pb 2.233 1.289 9.778
! - Volume: 319.5 Å³ per cell
! - Space group: R3m (160)
! - Density of states at the Fermi level: 0.8659 states/eV/atom


Version b
! BaZnNiPb PBE relaxed; values from VASP
&SYSTEM
  ibrav = 0, nat = 8, ntyp = 4
/
ATOMIC_SPECIES
Ba 137.33 Ba.upf
Zn 65.41 Zn.upf
Ni 58.69 Ni.upf
Pb 207.20 Pb.upf
CELL_PARAMETERS angstrom
4.479 0.000 0.000
0.000 4.347 0.000
0.000 0.000 11.495
ATOMIC_POSITIONS angstrom
Ba 0.000 0.000 0.000
Ba 0.000 2.173 5.747
Zn 0.000 0.000 3.274
Zn 0.000 2.173 9.021
Ni 2.240 0.000 4.018
Ni 2.240 2.173 9.766
Pb 2.240 0.000 8.239
Pb 2.240 2.173 2.492
! - Volume: 223.8 Å³ per cell
! - Space group: Amm2 (38)
! - Density of states at the Fermi level: 0.5591 states/eV/atom


Version c
! BaZnNiPb PBE relaxed; values from VASP
&SYSTEM
  ibrav = 0, nat = 8, ntyp = 4
/
ATOMIC_SPECIES
Ba 137.33 Ba.upf
Zn 65.41 Zn.upf
Ni 58.69 Ni.upf
Pb 207.20 Pb.upf
CELL_PARAMETERS angstrom
3.766 0.000 0.000
0.000 4.784 0.000
0.000 0.000 12.731
ATOMIC_POSITIONS angstrom
Ba 0.000 0.000 0.000
Ba 0.000 2.392 6.365
Zn 1.883 0.000 4.165
Zn 1.883 2.392 10.530
Ni 1.883 0.000 6.523
Ni 1.883 2.392 0.157
Pb 1.883 0.000 9.071
Pb 1.883 2.392 2.705
! - Volume: 229.4 Å³ per cell
! - Space group: Amm2 (38)
! - Density of states at the Fermi level: 0.5857 states/eV/atom


Stability verdict: version a, ahead by 7.8 kJ/mol of atoms


Version a
! Ba2Ni2Pd PBE relaxed; values from VASP
&SYSTEM
  ibrav = 0, nat = 10, ntyp = 3
/
ATOMIC_SPECIES
Ba 137.33 Ba.upf
Ni 58.69 Ni.upf
Pd 106.42 Pd.upf
CELL_PARAMETERS angstrom
3.636 0.000 0.000
0.000 3.636 0.000
0.000 0.000 18.587
ATOMIC_POSITIONS angstrom
Ba 0.000 0.000 2.044
Ba 0.000 0.000 16.544
Ba 1.818 1.818 7.250
Ba 1.818 1.818 11.337
Ni 0.000 1.818 4.647
Ni 0.000 1.818 13.941
Ni 1.818 0.000 4.647
Ni 1.818 0.000 13.941
Pd 0.000 0.000 9.294
Pd 1.818 1.818 0.000
! - Volume: 245.7 Å³ per cell
! - Space group: I4/mmm (139)
! - Density of states at the Fermi level: 0.7760 states/eV/atom


Version b
! Ba2Ni2Pd PBE relaxed; values from VASP
&SYSTEM
  ibrav = 0, nat = 10, ntyp = 3
/
ATOMIC_SPECIES
Ba 137.33 Ba.upf
Ni 58.69 Ni.upf
Pd 106.42 Pd.upf
CELL_PARAMETERS angstrom
7.399 0.000 0.000
0.000 7.399 0.000
0.000 0.000 4.474
ATOMIC_POSITIONS angstrom
Ba 1.390 2.310 0.000
Ba 2.310 6.009 0.000
Ba 5.089 1.390 0.000
Ba 6.009 5.089 0.000
Ni 0.831 4.531 2.237
Ni 2.868 0.831 2.237
Ni 4.531 6.568 2.237
Ni 6.568 2.868 2.237
Pd 0.000 0.000 2.237
Pd 3.699 3.699 2.237
! - Volume: 244.9 Å³ per cell
! - Space group: P4/mbm (127)
! - Density of states at the Fermi level: 0.6850 states/eV/atom


Stability verdict: version b, ahead by 2.1 kJ/mol of atoms


Version a
! BaPm2Ni PBE relaxed; values from VASP
&SYSTEM
  ibrav = 0, nat = 12, ntyp = 3
/
ATOMIC_SPECIES
Ba 137.33 Ba.upf
Pm 145.00 Pm.upf
Ni 58.69 Ni.upf
CELL_PARAMETERS angstrom
4.040 0.000 0.000
-2.020 3.499 0.000
0.000 0.000 32.324
ATOMIC_POSITIONS angstrom
Ba 0.000 0.000 0.000
Ba 0.000 2.333 21.549
Ba 2.020 1.166 10.775
Pm 0.000 0.000 3.911
Pm 0.000 0.000 28.413
Pm 0.000 2.333 17.638
Pm 0.000 2.333 25.460
Pm 2.020 1.166 6.864
Pm 2.020 1.166 14.686
Ni 0.000 0.000 16.162
Ni 0.000 2.333 5.387
Ni 2.020 1.166 26.937
! - Volume: 457.0 Å³ per cell
! - Space group: R-3m (166)
! - Density of states at the Fermi level: 1.2444 states/eV/atom


Version b
! BaPm2Ni PBE relaxed; values from VASP
&SYSTEM
  ibrav = 0, nat = 4, ntyp = 3
/
ATOMIC_SPECIES
Ba 137.33 Ba.upf
Pm 145.00 Pm.upf
Ni 58.69 Ni.upf
CELL_PARAMETERS angstrom
3.608 0.000 0.000
0.000 3.608 0.000
0.000 0.000 9.892
ATOMIC_POSITIONS angstrom
Ba 0.000 0.000 0.000
Pm 1.804 1.804 3.358
Pm 1.804 1.804 6.534
Ni 0.000 0.000 4.946
! - Volume: 128.8 Å³ per cell
! - Space group: P4/mmm (123)
! - Density of states at the Fermi level: 1.1463 states/eV/atom


Stability verdict: version b, ahead by 5.7 kJ/mol of atoms


Version a
! Ba2NiPt2 PBE relaxed; values from VASP
&SYSTEM
  ibrav = 0, nat = 10, ntyp = 3
/
ATOMIC_SPECIES
Ba 137.33 Ba.upf
Ni 58.69 Ni.upf
Pt 195.08 Pt.upf
CELL_PARAMETERS angstrom
8.493 0.000 0.000
0.000 8.493 0.000
0.000 0.000 4.135
ATOMIC_POSITIONS angstrom
Ba 1.545 2.701 0.000
Ba 2.701 6.948 0.000
Ba 5.792 1.545 0.000
Ba 6.948 5.792 0.000
Ni 0.000 0.000 0.000
Ni 4.247 4.247 0.000
Pt 0.923 5.170 2.067
Pt 3.324 0.923 2.067
Pt 5.170 7.570 2.067
Pt 7.570 3.324 2.067
! - Volume: 298.3 Å³ per cell
! - Space group: P4/mbm (127)
! - Density of states at the Fermi level: 0.5659 states/eV/atom


Version b
! Ba2NiPt2 PBE relaxed; values from VASP
&SYSTEM
  ibrav = 0, nat = 10, ntyp = 3
/
ATOMIC_SPECIES
Ba 137.33 Ba.upf
Ni 58.69 Ni.upf
Pt 195.08 Pt.upf
CELL_PARAMETERS angstrom
3.837 0.000 0.000
0.000 3.837 0.000
0.000 0.000 18.189
ATOMIC_POSITIONS angstrom
Ba 0.000 0.000 1.914
Ba 0.000 0.000 16.275
Ba 1.919 1.919 7.180
Ba 1.919 1.919 11.009
Ni 0.000 0.000 9.095
Ni 1.919 1.919 0.000
Pt 0.000 1.919 4.547
Pt 0.000 1.919 13.642
Pt 1.919 0.000 4.547
Pt 1.919 0.000 13.642
! - Volume: 267.8 Å³ per cell
! - Space group: I4/mmm (139)
! - Density of states at the Fermi level: 0.3896 states/eV/atom


Stability verdict: version b, ahead by 29.6 kJ/mol of atoms


Version a
! BaNi3Pt PBE relaxed; values from VASP
&SYSTEM
  ibrav = 0, nat = 5, ntyp = 3
/
ATOMIC_SPECIES
Ba 137.33 Ba.upf
Ni 58.69 Ni.upf
Pt 195.08 Pt.upf
CELL_PARAMETERS angstrom
4.772 0.000 0.000
0.000 4.772 0.000
0.000 0.000 4.772
ATOMIC_POSITIONS angstrom
Ba 0.000 0.000 0.000
Ni 0.000 2.386 2.386
Ni 2.386 0.000 2.386
Ni 2.386 2.386 0.000
Pt 2.386 2.386 2.386
! - Volume: 108.6 Å³ per cell
! - Space group: Pm-3m (221)
! - Density of states at the Fermi level: 1.5861 states/eV/atom


Version b
! BaNi3Pt PBE relaxed; values from VASP
&SYSTEM
  ibrav = 0, nat = 5, ntyp = 3
/
ATOMIC_SPECIES
Ba 137.33 Ba.upf
Ni 58.69 Ni.upf
Pt 195.08 Pt.upf
CELL_PARAMETERS angstrom
4.755 0.000 0.000
0.000 4.755 0.000
0.000 0.000 4.755
ATOMIC_POSITIONS angstrom
Ba 0.000 0.000 0.000
Ni 0.000 0.000 2.378
Ni 0.000 2.378 0.000
Ni 2.378 0.000 0.000
Pt 2.378 2.378 2.378
! - Volume: 107.5 Å³ per cell
! - Space group: Pm-3m (221)
! - Density of states at the Fermi level: 0.8206 states/eV/atom


Stability verdict: version a, ahead by 152.1 kJ/mol of atoms


Version a
! Ba2ReNi PBE relaxed; values from VASP
&SYSTEM
  ibrav = 0, nat = 8, ntyp = 3
/
ATOMIC_SPECIES
Ba 137.33 Ba.upf
Re 186.21 Re.upf
Ni 58.69 Ni.upf
CELL_PARAMETERS angstrom
4.592 0.000 0.000
0.000 4.592 0.000
0.000 0.000 10.633
ATOMIC_POSITIONS angstrom
Ba 0.000 0.000 0.000
Ba 0.000 2.296 2.658
Ba 2.296 0.000 7.975
Ba 2.296 2.296 5.317
Re 0.000 0.000 5.317
Re 2.296 2.296 0.000
Ni 0.000 2.296 7.975
Ni 2.296 0.000 2.658
! - Volume: 224.2 Å³ per cell
! - Space group: I-4m2 (119)
! - Density of states at the Fermi level: 1.3008 states/eV/atom


Version b
! Ba2ReNi PBE relaxed; values from VASP
&SYSTEM
  ibrav = 0, nat = 8, ntyp = 3
/
ATOMIC_SPECIES
Ba 137.33 Ba.upf
Re 186.21 Re.upf
Ni 58.69 Ni.upf
CELL_PARAMETERS angstrom
4.164 0.000 0.000
0.000 4.724 0.000
0.000 0.000 13.956
ATOMIC_POSITIONS angstrom
Ba 0.000 0.000 0.000
Ba 0.000 2.362 3.432
Ba 2.082 0.000 10.410
Ba 2.082 2.362 6.978
Re 0.000 2.362 11.737
Re 2.082 0.000 4.759
Ni 0.000 0.000 5.721
Ni 2.082 2.362 12.699
! - Volume: 274.5 Å³ per cell
! - Space group: Imm2 (44)
! - Density of states at the Fermi level: 1.1854 states/eV/atom


Version c
! Ba2ReNi PBE relaxed; values from VASP
&SYSTEM
  ibrav = 0, nat = 16, ntyp = 3
/
ATOMIC_SPECIES
Ba 137.33 Ba.upf
Re 186.21 Re.upf
Ni 58.69 Ni.upf
CELL_PARAMETERS angstrom
7.484 0.000 0.000
0.000 7.484 0.000
0.000 0.000 7.484
ATOMIC_POSITIONS angstrom
Ba 0.000 0.000 0.000
Ba 0.000 3.742 3.742
Ba 1.871 1.871 1.871
Ba 1.871 5.613 5.613
Ba 3.742 0.000 3.742
Ba 3.742 3.742 0.000
Ba 5.613 1.871 5.613
Ba 5.613 5.613 1.871
Re 1.871 1.871 5.613
Re 1.871 5.613 1.871
Re 5.613 1.871 1.871
Re 5.613 5.613 5.613
Ni 0.000 0.000 3.742
Ni 0.000 3.742 0.000
Ni 3.742 0.000 0.000
Ni 3.742 3.742 3.742
! - Volume: 419.2 Å³ per cell
! - Space group: F-43m (216)
! - Density of states at the Fermi level: 1.1645 states/eV/atom


Version d
! Ba2ReNi PBE relaxed; values from VASP
&SYSTEM
  ibrav = 0, nat = 4, ntyp = 3
/
ATOMIC_SPECIES
Ba 137.33 Ba.upf
Re 186.21 Re.upf
Ni 58.69 Ni.upf
CELL_PARAMETERS angstrom
3.479 0.000 0.000
0.000 3.479 0.000
0.000 0.000 9.523
ATOMIC_POSITIONS angstrom
Ba 0.000 0.000 0.000
Ba 1.739 1.739 4.112
Re 1.739 1.739 7.081
Ni 0.000 0.000 6.444
! - Volume: 115.2 Å³ per cell
! - Space group: P4mm (99)
! - Density of states at the Fermi level: 1.6375 states/eV/atom


Stability verdict: version b, ahead by 4.3 kJ/mol of atoms